Crystalline K7RbNa2 at its relaxed geometry, computed with PBE.

Calculated values
Energy above the lowest structure with this stoichiometry   60 meV/atom
Formation enthalpy at 0 K   0.110 eV/atom
Symmetry   Cmmm (65)

Cell lengths 7.2569, 11.0490, 11.0491 Å; angles 114.46, 90.00, 90.00 degrees
Closest atoms and distances in Å follow each position.
Fractional positions:
K1 0.0000 0.7133 0.2867  2 Na 3.63
K2 0.0000 0.2867 0.7133  2 Na 3.63
K3 0.5000 0.0647 0.3181  2 Na 3.84-3.98
K4 0.5000 0.9353 0.6819  2 Na 3.84-3.98
K5 0.5000 0.3181 0.0647  2 Na 3.84-3.98
K6 0.5000 0.6819 0.9353  2 Na 3.84-3.98
K7 0.5000 0.5000 0.5000  2 Na 3.85
Rb1 0.0000 0.0000 0.0000  10 K 4.89-5.33
Na1 0.5000 0.7070 0.2930  7 K 3.63-3.98
Na2 0.5000 0.2930 0.7070  7 K 3.63-3.98